(1)
TmMn2Ge3, relaxed, DFT PBE; spin magnetization = 2.64 μB per cell; energy of formation from the pure elements = -0.295 eV per atom
1.0
2.081 -6.005 0.000
2.081 6.005 0.000
0.000 0.000 8.179
Tm Mn Ge
2 4 6
direct
0.202 0.798 0.750 Tm
0.798 0.202 0.250 Tm
0.000 0.000 0.000 Mn
0.000 0.000 0.500 Mn
0.470 0.530 0.750 Mn
0.530 0.470 0.250 Mn
0.127 0.873 0.250 Ge
0.382 0.618 0.030 Ge
0.382 0.618 0.470 Ge
0.618 0.382 0.530 Ge
0.618 0.382 0.970 Ge
0.873 0.127 0.750 Ge

(2)
TmMnGe2, relaxed, DFT PBE; spin magnetization = 8.09 μB per cell; energy of formation from the pure elements = -0.510 eV per atom
1.0
-2.714 4.100 9.224
2.714 -4.100 9.224
2.714 4.100 -9.224
Tm Mn Ge
6 6 12
direct
0.142 0.142 0.000 Tm
0.153 0.407 0.746 Tm
0.340 0.593 0.746 Tm
0.660 0.407 0.254 Tm
0.847 0.593 0.254 Tm
0.858 0.858 0.000 Tm
0.000 0.000 0.500 Mn
0.000 0.500 0.000 Mn
0.252 0.000 0.252 Mn
0.500 0.000 0.000 Mn
0.500 0.500 0.500 Mn
0.748 0.000 0.748 Mn
0.000 0.250 0.250 Ge
0.000 0.750 0.750 Ge
0.207 0.707 0.500 Ge
0.207 0.861 0.346 Ge
0.297 0.297 0.000 Ge
0.484 0.139 0.346 Ge
0.500 0.252 0.752 Ge
0.500 0.748 0.248 Ge
0.516 0.861 0.654 Ge
0.703 0.703 0.000 Ge
0.793 0.139 0.654 Ge
0.793 0.293 0.500 Ge

(3)
Tm4MnGe8, relaxed, DFT PBE; spin magnetization = 2.52 μB per cell; energy of formation from the pure elements = -0.540 eV per atom
1.0
3.975 0.000 0.000
0.000 4.132 0.000
0.000 0.000 15.815
Tm Mn Ge
4 1 8
direct
0.000 0.000 0.000 Tm
0.000 0.500 0.489 Tm
0.500 0.000 0.788 Tm
0.500 0.500 0.287 Tm
0.000 0.500 0.703 Mn
0.000 0.000 0.332 Ge
0.000 0.000 0.629 Ge
0.000 0.500 0.141 Ge
0.000 0.500 0.854 Ge
0.500 0.000 0.146 Ge
0.500 0.000 0.441 Ge
0.500 0.500 0.622 Ge
0.500 0.500 0.960 Ge

(4)
TmMn3Ge3, relaxed, DFT PBE; distance to the lowest polymorph of the same formula = 0.0 kJ/mol of atoms; spin magnetization = 17.23 μB per cell; energy of formation from the pure elements = 0.363 eV per atom
1.0
6.638 0.000 0.000
0.000 6.638 0.000
0.000 0.000 6.638
Tm Mn Ge
2 6 6
direct
0.000 0.000 0.000 Tm
0.500 0.500 0.500 Tm
0.000 0.250 0.500 Mn
0.000 0.750 0.500 Mn
0.250 0.500 0.000 Mn
0.500 0.000 0.250 Mn
0.500 0.000 0.750 Mn
0.750 0.500 0.000 Mn
0.000 0.500 0.250 Ge
0.000 0.500 0.750 Ge
0.250 0.000 0.500 Ge
0.500 0.250 0.000 Ge
0.500 0.750 0.000 Ge
0.750 0.000 0.500 Ge

(5)
TmMnGe2, relaxed, DFT PBE; spin magnetization = 2.61 μB per cell; energy of formation from the pure elements = -0.437 eV per atom
1.0
2.047 1.182 5.099
-2.047 1.182 5.099
0.000 -2.363 5.099
Tm Mn Ge
1 1 2
direct
0.000 0.000 0.000 Tm
0.500 0.500 0.500 Mn
0.226 0.226 0.226 Ge
0.774 0.774 0.774 Ge

(6)
TmMn3Ge3, relaxed, DFT PBE; distance to the lowest polymorph of the same formula = 56.0 kJ/mol of atoms; spin magnetization = 0.00 μB per cell; energy of formation from the pure elements = 0.944 eV per atom
1.0
0.000 5.623 5.623
5.623 0.000 5.623
5.623 5.623 0.000
Tm Mn Ge
2 6 6
direct
0.250 0.250 0.250 Tm
0.750 0.750 0.750 Tm
0.139 0.139 0.861 Mn
0.139 0.861 0.139 Mn
0.139 0.861 0.861 Mn
0.861 0.139 0.139 Mn
0.861 0.139 0.861 Mn
0.861 0.861 0.139 Mn
0.339 0.339 0.661 Ge
0.339 0.661 0.339 Ge
0.339 0.661 0.661 Ge
0.661 0.339 0.339 Ge
0.661 0.339 0.661 Ge
0.661 0.661 0.339 Ge

Number 1 is which compound? TmMn2Ge3